Y3P4Rh13 | meta-GGA SCAN | PBEsol geometry

a = 8.547 Å, b = 8.547 Å, c = 8.547 Å
α = 90.00°, β = 90.00°, γ = 90.00°
Positions (direct):
Rh  0.343  0.771  0.500
Rh  0.000  0.729  0.843
Rh  0.500  0.343  0.771
Rh  0.657  0.229  0.500
Y  0.500  0.000  0.750
Rh  0.229  0.500  0.657
Rh  0.271  0.843  0.000
Y  0.500  0.000  0.250
Y  0.000  0.250  0.500
P  0.750  0.250  0.250
Rh  0.729  0.157  0.000
P  0.250  0.250  0.750
Y  0.000  0.750  0.500
Rh  0.000  0.729  0.157
Rh  0.500  0.343  0.229
Rh  0.000  0.271  0.157
Rh  0.500  0.657  0.771
Rh  0.157  0.000  0.271
Rh  0.229  0.500  0.343
Y  0.750  0.500  0.000
Y  0.250  0.500  0.000
P  0.250  0.750  0.750
Rh  0.729  0.843  0.000
Rh  0.843  0.000  0.729
Rh  0.000  0.000  0.000
Rh  0.500  0.500  0.500
Rh  0.771  0.500  0.343
Rh  0.271  0.157  0.000
P  0.750  0.750  0.750
P  0.250  0.750  0.250
P  0.250  0.250  0.250
Rh  0.343  0.229  0.500
P  0.750  0.750  0.250
Rh  0.500  0.657  0.229
Rh  0.157  0.000  0.729
P  0.750  0.250  0.750
Rh  0.657  0.771  0.500
Rh  0.000  0.271  0.843
Rh  0.843  0.000  0.271
Rh  0.771  0.500  0.657

Output
E_form ... -0.80 eV per atom
N(E_F) ... 0.497 states/eV per atom

Mg2PW | meta-GGA SCAN | PBEsol geometry

a = 2.940 Å, b = 2.940 Å, c = 8.964 Å
α = 80.56°, β = 80.56°, γ = 60.00°
Positions (direct):
P  0.500  0.500  0.500
W  0.000  0.000  0.000
Mg  0.246  0.246  0.263
Mg  0.754  0.754  0.737

Output
E_form ... 0.30 eV per atom
N(E_F) ... 0.457 states/eV per atom

TaHg | meta-GGA SCAN | PBEsol geometry

a = 4.085 Å, b = 4.085 Å, c = 5.302 Å
α = 112.66°, β = 112.66°, γ = 90.00°
Positions (direct):
Hg  0.250  0.750  0.500
Ta  0.750  0.250  0.500
Hg  0.000  0.000  0.000
Ta  0.500  0.500  0.000

Output
E_form ... 0.42 eV per atom
N(E_F) ... 0.610 states/eV per atom

> Number 2 is which compound?

Mg2PW

> The lowest N(E_F) belongs to which entry?

Mg2PW

> Look up the E_form of the third one.

0.42 eV per atom

> What is the formula in the first record?

Y3P4Rh13